Crystalline ZrZnFeSi at its relaxed geometry, computed with PBE.

The energy above the lowest structure with this stoichiometry comes out at 0.000 eV per atom. The magnetization comes out at 0.01 Bohr magnetons per cell.

The structure belongs to space group F-43m (No. 216); the cell edges are 6.114, 6.114 and 6.114 Å and the angles 90.00°, 90.00° and 90.00°. The asymmetric unit holds Zr at (0.000, 0.000, 0.000), Zn at (0.250, 0.250, 0.250), Fe at (0.250, 0.250, 0.750) and Si at (0.000, 0.000, 0.500).